This record from Alexandria via LeMat-Bulk describes crystalline ZrTi3Sb4 at its relaxed geometry. The functional is GGA-PBE.

Lattice parameters (Å, degrees): 5.5744 9.7035 8.3089 90.00 90.00 90.00
Space group Pmmn (No. 59, origin choice 2)
One atom of each set of equivalent atoms:
Zr 0.2500 0.2500 0.1647 [2 per cell]
Ti 0.2500 0.5032 0.6687 [4 per cell]
Ti 0.2500 0.7500 0.1655 [2 per cell]
Sb 0.2500 0.2500 0.8180 [2 per cell]
Sb 0.2500 0.5073 0.3374 [4 per cell]
Sb 0.2500 0.7500 0.8335 [2 per cell]

DFT total energy (eV per atom): -6.230
Calculated volume (Å³/cell): 449